Entry 1:
Compound: LiTiTlTe3
Source: Alexandria via LeMat-Bulk
Functional: GGA-PBE
Structure: relaxed

Magnetization, μB/cell: 0.001
N(E_F), states/eV/cell: 1.50
Formation energy from raw total energies, eV per atom: -0.635
E_tot, eV per atom: -4.235

```
data_LiTiTlTe3
_chemical_formula_sum 'Li2 Ti2 Tl2 Te6'
_cell_length_a 8.510
_cell_length_b 4.044
_cell_length_c 10.713
_cell_angle_alpha 90.00
_cell_angle_beta 109.75
_cell_angle_gamma 90.00
_symmetry_space_group_name_H-M 'P 1 21/m 1'
_symmetry_Int_Tables_number 11
loop_
_symmetry_equiv_pos_as_xyz
'x,y,z'
'-x,-y,-z'
'-x,y+1/2,-z'
'x,-y+1/2,z'
loop_
_atom_site_label
_atom_site_type_symbol
_atom_site_fract_x
_atom_site_fract_y
_atom_site_fract_z
Li1 Li 0.067 0.250 0.105
Ti1 Ti 0.301 0.750 0.333
Tl1 Tl 0.272 0.250 0.794
Te1 Te 0.088 0.250 0.362
Te2 Te 0.266 0.750 0.072
Te3 Te 0.449 0.750 0.619
```

=====

Entry 2:
Compound: CdNi3
Source: Alexandria via LeMat-Bulk
Functional: GGA-PBE
Structure: relaxed

Magnetization, μB/cell: 1.174
N(E_F), states/eV/cell: 6.37
E_tot, eV per atom: -4.398
ΔE_f, kcal/mol of atoms: 3.841

```
data_CdNi3
_chemical_formula_sum 'Cd1 Ni3'
_cell_length_a 2.695
_cell_length_b 4.246
_cell_length_c 4.611
_cell_angle_alpha 90.00
_cell_angle_beta 90.00
_cell_angle_gamma 90.00
_symmetry_space_group_name_H-M 'P m m 2'
_symmetry_Int_Tables_number 25
loop_
_symmetry_equiv_pos_as_xyz
'x,y,z'
'-x,-y,z'
'-x,y,z'
'x,-y,z'
loop_
_atom_site_label
_atom_site_type_symbol
_atom_site_fract_x
_atom_site_fract_y
_atom_site_fract_z
Cd1 Cd 0.000 0.000 0.000
Ni1 Ni 0.000 0.500 0.358
Ni2 Ni 0.500 0.000 0.496
Ni3 Ni 0.500 0.500 0.802
```

=====

Entry 3:
Compound: NbPtPb3
Source: Alexandria via LeMat-Bulk
Functional: GGA-PBE
Structure: relaxed

Magnetization, μB/cell: 1.454
N(E_F), states/eV/cell: 7.62
E_tot, eV per atom: -4.500
ΔE_f, kcal/mol of atoms: 21.841

```
data_NbPtPb3
_chemical_formula_sum 'Nb1 Pt1 Pb3'
_cell_length_a 5.440
_cell_length_b 5.440
_cell_length_c 5.440
_cell_angle_alpha 90.00
_cell_angle_beta 90.00
_cell_angle_gamma 90.00
_symmetry_space_group_name_H-M 'P m -3 m'
_symmetry_Int_Tables_number 221
_symmetry_space_group_name_Hall '-P 4 2 3'
loop_
_atom_site_label
_atom_site_type_symbol
_atom_site_fract_x
_atom_site_fract_y
_atom_site_fract_z
Nb1 Nb 0.000 0.000 0.000
Pt1 Pt 0.500 0.500 0.500
Pb1 Pb 0.000 0.000 0.500
```

=====

Entry 4:
Compound: Ce2PbS4
Source: Alexandria via LeMat-Bulk
Functional: GGA-PBE
Structure: relaxed

Magnetization, μB/cell: 8.015
N(E_F), states/eV/cell: 52.94
Formation energy from raw total energies, eV per atom: -1.543
E_tot, eV per atom: -6.127

```
data_Ce2PbS4
_chemical_formula_sum 'Ce8 Pb4 S16'
_cell_length_a 8.692
_cell_length_b 8.692
_cell_length_c 8.674
_cell_angle_alpha 90.00
_cell_angle_beta 90.00
_cell_angle_gamma 90.00
_symmetry_space_group_name_H-M 'I -4 2 d'
_symmetry_Int_Tables_number 122
_symmetry_space_group_name_Hall 'I -4 2bw'
loop_
_atom_site_label
_atom_site_type_symbol
_atom_site_fract_x
_atom_site_fract_y
_atom_site_fract_z
Ce1 Ce 0.134 0.250 0.125
Pb1 Pb 0.000 0.000 0.500
S1 S 0.076 0.172 0.810
```

=====

Entry 5:
Compound: CrCoSi2
Source: Alexandria via LeMat-Bulk
Functional: GGA-PBE
Structure: relaxed

Magnetization, μB/cell: 0.890
N(E_F), states/eV/cell: 7.35
Formation energy from raw total energies, eV per atom: -0.242
E_tot, eV per atom: -7.136

```
data_CrCoSi2
_chemical_formula_sum 'Cr2 Co2 Si4'
_cell_length_a 3.105
_cell_length_b 3.603
_cell_length_c 8.228
_cell_angle_alpha 90.00
_cell_angle_beta 90.00
_cell_angle_gamma 90.00
_symmetry_space_group_name_H-M 'I m m 2'
_symmetry_Int_Tables_number 44
loop_
_symmetry_equiv_pos_as_xyz
'x,y,z'
'-x,-y,z'
'-x,y,z'
'x,-y,z'
'x+1/2,y+1/2,z+1/2'
'-x+1/2,-y+1/2,z+1/2'
'-x+1/2,y+1/2,z+1/2'
'x+1/2,-y+1/2,z+1/2'
loop_
_atom_site_label
_atom_site_type_symbol
_atom_site_fract_x
_atom_site_fract_y
_atom_site_fract_z
Cr1 Cr 0.000 0.000 0.000
Co1 Co 0.000 0.500 0.245
Si1 Si 0.000 0.000 0.526
Si2 Si 0.000 0.500 0.757
```

=====

Entry 6:
Compound: RhAu
Source: Alexandria via LeMat-Bulk
Functional: GGA-PBE
Structure: relaxed

Magnetization, μB/cell: 2.491
N(E_F), states/eV/cell: 12.00
E_tot, eV per atom: -5.132
ΔE_f, kcal/mol of atoms: 4.211

```
data_RhAu
_chemical_formula_sum 'Rh4 Au4'
_cell_length_a 9.338
_cell_length_b 2.841
_cell_length_c 4.949
_cell_angle_alpha 90.00
_cell_angle_beta 100.42
_cell_angle_gamma 90.00
_symmetry_space_group_name_H-M 'C 1 2/m 1'
_symmetry_Int_Tables_number 12
loop_
_symmetry_equiv_pos_as_xyz
'x,y,z'
'-x,-y,-z'
'-x,y,-z'
'x,-y,z'
'x+1/2,y+1/2,z'
'-x+1/2,-y+1/2,-z'
'-x+1/2,y+1/2,-z'
'x+1/2,-y+1/2,z'
loop_
_atom_site_label
_atom_site_type_symbol
_atom_site_fract_x
_atom_site_fract_y
_atom_site_fract_z
Rh1 Rh 0.131 0.000 0.395
Au1 Au 0.122 0.500 0.878
```

=====

Entry 7:
Compound: HoEr3Ni
Source: Alexandria via LeMat-Bulk
Functional: GGA-PBE
Structure: relaxed

Magnetization, μB/cell: 0.000
N(E_F), states/eV/cell: 26.38
E_tot, eV per atom: -4.992
ΔE_f, kcal/mol of atoms: -4.213

```
data_HoEr3Ni
_chemical_formula_sum 'Ho4 Er12 Ni4'
_cell_length_a 11.965
_cell_length_b 3.582
_cell_length_c 13.677
_cell_angle_alpha 90.00
_cell_angle_beta 115.55
_cell_angle_gamma 90.00
_symmetry_space_group_name_H-M 'C 1 m 1'
_symmetry_Int_Tables_number 8
loop_
_symmetry_equiv_pos_as_xyz
'x,y,z'
'x,-y,z'
'x+1/2,y+1/2,z'
'x+1/2,-y+1/2,z'
loop_
_atom_site_label
_atom_site_type_symbol
_atom_site_fract_x
_atom_site_fract_y
_atom_site_fract_z
Ho1 Ho 0.000 0.000 0.000
Ho2 Ho 0.171 0.000 0.277
Er1 Er 0.154 0.500 0.637
Er2 Er 0.216 0.000 0.877
Er3 Er 0.290 0.500 0.118
Er4 Er 0.365 0.500 0.519
Er5 Er 0.438 0.000 0.759
Er6 Er 0.485 0.000 0.361
Ni1 Ni 0.169 0.000 0.488
Ni2 Ni 0.486 0.000 0.150
```

=====

Entry 8:
Compound: Zr2SiHg
Source: Alexandria via LeMat-Bulk
Functional: GGA-PBE
Structure: relaxed

Magnetization, μB/cell: 0.000
N(E_F), states/eV/cell: 1.94
Formation energy from raw total energies, eV per atom: -0.388
E_tot, eV per atom: -6.093

```
data_Zr2SiHg
_chemical_formula_sum 'Zr2 Si1 Hg1'
_cell_length_a 3.063
_cell_length_b 3.063
_cell_length_c 8.337
_cell_angle_alpha 90.00
_cell_angle_beta 90.00
_cell_angle_gamma 90.00
_symmetry_space_group_name_H-M 'P 4/m m m'
_symmetry_Int_Tables_number 123
_symmetry_space_group_name_Hall '-P 4 2'
loop_
_atom_site_label
_atom_site_type_symbol
_atom_site_fract_x
_atom_site_fract_y
_atom_site_fract_z
Zr1 Zr 0.000 0.000 0.221
Si1 Si 0.500 0.500 0.000
Hg1 Hg 0.500 0.500 0.500
```

=====

Entry 9:
Compound: Pr3ScHg2
Source: Alexandria via LeMat-Bulk
Functional: GGA-PBE
Structure: relaxed

Magnetization, μB/cell: 0.000
N(E_F), states/eV/cell: 9.34
E_tot, eV per atom: -3.833
ΔE_f, kcal/mol of atoms: -6.635

```
data_Pr3ScHg2
_chemical_formula_sum 'Pr6 Sc2 Hg4'
_cell_length_a 5.309
_cell_length_b 9.666
_cell_length_c 6.849
_cell_angle_alpha 90.00
_cell_angle_beta 90.00
_cell_angle_gamma 90.00
_symmetry_space_group_name_H-M 'P m c 21'
_symmetry_Int_Tables_number 26
loop_
_symmetry_equiv_pos_as_xyz
'x,y,z'
'-x,-y,z+1/2'
'-x,y,z'
'x,-y,z+1/2'
loop_
_atom_site_label
_atom_site_type_symbol
_atom_site_fract_x
_atom_site_fract_y
_atom_site_fract_z
Pr1 Pr 0.000 0.046 0.000
Pr2 Pr 0.000 0.336 0.320
Pr3 Pr 0.500 0.185 0.695
Sc1 Sc 0.500 0.454 0.028
Hg1 Hg 0.000 0.351 0.796
Hg2 Hg 0.500 0.157 0.231
```

=====

Entry 10:
Compound: AgPdRu2Rh
Source: Alexandria via LeMat-Bulk
Functional: GGA-PBE
Structure: relaxed

Magnetization, μB/cell: 5.740
N(E_F), states/eV/cell: 6.29
E_tot, eV per atom: -4.576
ΔE_f, kcal/mol of atoms: 51.042

```
data_AgPdRu2Rh
_chemical_formula_sum 'Ag1 Pd1 Ru2 Rh1'
_cell_length_a 4.783
_cell_length_b 4.783
_cell_length_c 4.774
_cell_angle_alpha 90.00
_cell_angle_beta 90.00
_cell_angle_gamma 90.00
_symmetry_space_group_name_H-M 'P 4/m m m'
_symmetry_Int_Tables_number 123
_symmetry_space_group_name_Hall '-P 4 2'
loop_
_atom_site_label
_atom_site_type_symbol
_atom_site_fract_x
_atom_site_fract_y
_atom_site_fract_z
Ag1 Ag 0.000 0.000 0.000
Pd1 Pd 0.000 0.000 0.500
Ru1 Ru 0.000 0.500 0.000
Rh1 Rh 0.500 0.500 0.500
```

=====

Which value of magnetization does entry 7 give? 0.000 μB/cell

=====

What is the formula in the ninth record? Pr3ScHg2

=====

Which formula does entry 1 have? LiTiTlTe3